# 1
CrCo5Pt6, relaxed, DFT PBE; Fermi-level density of states = 15.72 states/eV per cell; magnetic moment = 1.10 μB per atom; energy relative to the elements = -0.101 eV/atom
1.0
-1.908 3.741 5.738
1.908 -3.741 5.738
1.908 3.741 -5.738
Cr Co Pt
1 5 6
direct
0.000 0.000 0.000 Cr
0.172 0.672 0.500 Co
0.333 0.333 0.000 Co
0.500 0.000 0.500 Co
0.667 0.667 0.000 Co
0.828 0.328 0.500 Co
0.082 0.833 0.248 Pt
0.249 0.500 0.749 Pt
0.415 0.167 0.248 Pt
0.585 0.833 0.752 Pt
0.751 0.500 0.251 Pt
0.918 0.167 0.752 Pt

# 2
InBI3, relaxed, DFT PBE; Fermi-level density of states = 2.02 states/eV per cell; offset from the most stable computed form = 0.0 meV/atom; magnetic moment = 0.00 μB per atom; raw formation energy = 402 meV/atom
1.0
5.312 0.000 0.000
0.000 5.312 0.000
0.000 0.000 5.312
In B I
1 1 3
direct
0.000 0.000 0.000 In
0.500 0.500 0.500 B
0.000 0.500 0.500 I
0.500 0.000 0.500 I
0.500 0.500 0.000 I

# 3
ScAl2Rh, relaxed, DFT PBE; Fermi-level density of states = 2.37 states/eV per cell; magnetic moment = 0.00 μB per atom; energy relative to the elements = -0.662 eV/atom
1.0
-2.239 2.239 3.180
2.239 -2.239 3.180
2.239 2.239 -3.180
Sc Al Rh
1 2 1
direct
0.000 0.000 0.000 Sc
0.500 0.500 0.000 Al
0.750 0.250 0.500 Al
0.250 0.750 0.500 Rh